The following is a DFT calculation (PBE-GGA) of an optimized crystal structure of Tb6C2S3Cl.

Output
Formation energy without anion corrections   -140 kJ per mole of atoms
Space-group type   C2/m (12)
Energy   -77.8 eV/cell
V   20.2 Å³ per atom
Magnetic moment   0.0 μB/cell

The structure in CIF format:
```
data_Tb6C2S3Cl
_chemical_formula_sum 'Tb6 C2 S3 Cl1'
_space_group_name_H-M_alt 'P 1'
_space_group_IT_number 1
_space_group_name_Hall 'P 1'
_cell_length_a 3.777
_cell_length_b 7.844
_cell_length_c 8.584
_cell_angle_alpha 102.38
_cell_angle_beta 102.71
_cell_angle_gamma 90.00
loop_
_atom_site_label
_atom_site_type_symbol
_atom_site_fract_x
_atom_site_fract_y
_atom_site_fract_z
Tb1 Tb 0.676 0.127 0.353
Tb2 Tb 0.981 0.724 0.961
Tb3 Tb 0.324 0.873 0.647
Tb4 Tb 0.325 0.435 0.650
Tb5 Tb 0.019 0.276 0.039
Tb6 Tb 0.675 0.565 0.350
C1 C 0.169 0.333 0.337
C2 C 0.831 0.667 0.663
Cl1 Cl 0.500 0.000 0.000
S1 S 0.158 0.838 0.317
S2 S 0.500 0.500 0.000
S3 S 0.842 0.162 0.683
```


The following is a DFT calculation (PBE-GGA) of an optimized crystal structure of Na2YHg2.

Output
ΔH_f (0 K)   -0.141 eV/atom
E above lowest polymorph   24 meV/atom
Space-group type   P4/mbm (127)
Energy   -20.8 eV/cell
V   27.9 Å³ per atom
Magnetic moment   0.0 μB/cell

The structure in CIF format:
```
data_Na2YHg2
_chemical_formula_sum 'Na4 Y2 Hg4'
_space_group_name_H-M_alt 'P 1'
_space_group_IT_number 1
_space_group_name_Hall 'P 1'
_cell_length_a 8.072
_cell_length_b 8.072
_cell_length_c 4.277
_cell_angle_alpha 90.00
_cell_angle_beta 90.00
_cell_angle_gamma 90.00
loop_
_atom_site_label
_atom_site_type_symbol
_atom_site_fract_x
_atom_site_fract_y
_atom_site_fract_z
Hg1 Hg 0.136 0.364 0.000
Hg2 Hg 0.864 0.636 0.000
Hg3 Hg 0.636 0.136 0.000
Hg4 Hg 0.364 0.864 0.000
Na1 Na 0.161 0.661 0.500
Na2 Na 0.339 0.161 0.500
Na3 Na 0.839 0.339 0.500
Na4 Na 0.661 0.839 0.500
Y1 Y 0.000 0.000 0.000
Y2 Y 0.500 0.500 0.000
```


The following is a DFT calculation (PBE-GGA) of an optimized crystal structure of Sr2In2Ru.

Output
ΔH_f (0 K)   0.035 eV/atom
Space-group type   P4/mbm (127)
Energy   -35.9 eV/cell
V   28.7 Å³ per atom
Magnetic moment   0.0 μB/cell

The structure in CIF format:
```
data_Sr2In2Ru
_chemical_formula_sum 'Sr4 In4 Ru2'
_space_group_name_H-M_alt 'P 1'
_space_group_IT_number 1
_space_group_name_Hall 'P 1'
_cell_length_a 7.323
_cell_length_b 7.323
_cell_length_c 5.353
_cell_angle_alpha 90.00
_cell_angle_beta 90.00
_cell_angle_gamma 90.00
loop_
_atom_site_label
_atom_site_type_symbol
_atom_site_fract_x
_atom_site_fract_y
_atom_site_fract_z
Ru1 Ru 0.500 0.500 0.000
Ru2 Ru 0.000 0.000 0.000
Sr1 Sr 0.321 0.179 0.500
Sr2 Sr 0.179 0.679 0.500
Sr3 Sr 0.821 0.321 0.500
Sr4 Sr 0.679 0.821 0.500
In1 In 0.146 0.354 0.000
In2 In 0.646 0.146 0.000
In3 In 0.854 0.646 0.000
In4 In 0.354 0.854 0.000
```


The following is a DFT calculation (PBE-GGA) of an optimized crystal structure of Li2TeAs.

Output
Formation energy without anion corrections   -40 kJ per mole of atoms
E above lowest polymorph   93 meV/atom
Space-group type   R-3m (166)
Energy   -13.3 eV/cell
V   19.8 Å³ per atom
Magnetic moment   0.0 μB/cell

The structure in CIF format:
```
data_Li2TeAs
_chemical_formula_sum 'Li2 Te1 As1'
_space_group_name_H-M_alt 'P 1'
_space_group_IT_number 1
_space_group_name_Hall 'P 1'
_cell_length_a 8.712
_cell_length_b 8.712
_cell_length_c 8.712
_cell_angle_alpha 21.67
_cell_angle_beta 21.67
_cell_angle_gamma 21.67
loop_
_atom_site_label
_atom_site_type_symbol
_atom_site_fract_x
_atom_site_fract_y
_atom_site_fract_z
Li1 Li 0.010 0.010 0.010
Li2 Li 0.490 0.490 0.490
Te1 Te 0.250 0.250 0.250
As1 As 0.750 0.750 0.750
```